Computed, not measured: an optimized crystal structure of Tb12Nd2Th5 at the PBE level of DFT.

Cell lengths 9.9259, 9.9259, 10.4775 Å; angles 111.09, 111.09, 41.17 degrees
Element x y z (fractional)
Tb1 0.0027 0.0027 0.3329
Tb2 0.0774 0.5835 0.4701
Tb3 0.0979 0.5890 0.1364
Tb4 0.4110 0.9021 0.8636
Tb5 0.4165 0.9226 0.5299
Tb6 0.4607 0.4607 0.7481
Tb7 0.5393 0.5393 0.2519
Tb8 0.5835 0.0774 0.4701
Tb9 0.5890 0.0979 0.1364
Tb10 0.9021 0.4110 0.8636
Tb11 0.9226 0.4165 0.5299
Tb12 0.9973 0.9973 0.6671
Nd1 0.2236 0.7764 0.0000
Nd2 0.7764 0.2236 0.0000
Th1 0.1784 0.1784 0.2083
Th2 0.3122 0.3122 0.8294
Th3 0.5000 0.5000 0.5000
Th4 0.6878 0.6878 0.1706
Th5 0.8216 0.8216 0.7917

Computed properties:
Calculated density: 8.88 g/cm³
Formation energy from the elements: 213 meV/atom
D(E_F): 30.144 states/eV/f.u.

---

Computed, not measured: an optimized crystal structure of Ca4TlSi at the PBE level of DFT.

Cell lengths 6.5451, 6.5451, 6.5451 Å; angles 60.00, 60.00, 60.00 degrees
Element x y z (fractional)
Ca1 0.1244 0.1244 0.1244
Ca2 0.1244 0.1244 0.6269
Ca3 0.1244 0.6269 0.1244
Ca4 0.6269 0.1244 0.1244
Tl1 0.5000 0.5000 0.5000
Si1 0.7500 0.7500 0.7500

Computed properties:
Calculated density: 3.29 g/cm³
D(E_F): 7.508 states/eV/f.u.
Formation energy (no corrections): 0.420 eV per atom
Polymorph energy (0 for the lowest one): 791 meV per atom

---

Computed, not measured: an optimized crystal structure of CsHf3Sc at the PBE level of DFT.

Cell lengths 5.2327, 5.2327, 5.2327 Å; angles 90.00, 90.00, 90.00 degrees
Element x y z (fractional)
Cs1 0.0000 0.0000 0.0000
Hf1 0.0000 0.0000 0.5000
Hf2 0.0000 0.5000 0.0000
Hf3 0.5000 0.0000 0.0000
Sc1 0.5000 0.5000 0.5000

Computed properties:
Calculated density: 8.27 g/cm³
Formation energy from the elements: 2020 meV/atom
D(E_F): 7.126 states/eV/f.u.
Polymorph energy (0 for the lowest one): 508 meV per atom

---

Computed, not measured: an optimized crystal structure of BPBrCl2 at the PBE level of DFT.

Cell lengths 4.1438, 4.1438, 5.2319 Å; angles 90.00, 90.00, 90.00 degrees
Element x y z (fractional)
B1 0.0000 0.0000 0.0000
P1 0.0000 0.0000 0.5000
Br1 0.5000 0.5000 0.5000
Cl1 0.0000 0.5000 0.0000
Cl2 0.5000 0.0000 0.0000

Computed properties:
Calculated density: 3.56 g/cm³
D(E_F): 2.056 states/eV/f.u.
Formation energy (no corrections): 0.626 eV per atom
Polymorph energy (0 for the lowest one): 0 meV per atom